# Mg4CoBi

An optimized crystal structure of Mg4CoBi (GGA-PBE, Alexandria).

abc: 8.282 8.282 5.304
angles: 108.66 108.66 51.48
Positions (direct):
Mg  0.141  0.619  0.380
Mg  0.218  0.782  0.000
Mg  0.343  0.343  0.844
Mg  0.381  0.859  0.620
Mg  0.619  0.141  0.380
Mg  0.657  0.657  0.156
Mg  0.782  0.218  0.000
Mg  0.859  0.381  0.620
Co  0.500  0.500  0.294
Co  0.500  0.500  0.706
Bi  0.189  0.189  0.188
Bi  0.811  0.811  0.812

Values from the calculation:
Calculated total energy (eV/atom): -2.971
Crystal system: monoclinic
Magnetization (μB/f.u.): 0.09
E_form (meV/atom): -77